Version i
Crystalline Li3AgP at its relaxed geometry. Source: Alexandria via LeMat-Bulk, functional PBE.

```
Li3AgP
1.0
4.637 0.000 0.000
0.000 4.637 0.000
0.000 0.000 4.637
Li Ag P
3 1 1
Cartesian
0.000 0.000 2.319
0.000 2.319 0.000
2.319 0.000 0.000
2.319 2.319 2.319
0.000 0.000 0.000
```

Results
SG ... Pm-3m


Version ii
Crystalline Li3AgP at its relaxed geometry. Source: Alexandria via LeMat-Bulk, functional PBE.

```
Li3AgP
1.0
4.655 0.000 0.000
0.000 4.655 0.000
0.000 0.000 4.655
Li Ag P
3 1 1
Cartesian
0.000 0.000 2.327
0.000 2.327 0.000
2.327 0.000 0.000
0.000 0.000 0.000
2.327 2.327 2.327
```

Results
SG ... Pm-3m


Most stable to least stable: version i, version ii


Version i
Crystalline LiAgP2S at its relaxed geometry. Source: Alexandria via LeMat-Bulk, functional PBE.

```
LiAgP2S
1.0
4.808 0.000 0.000
0.000 4.808 0.000
0.000 0.000 5.096
Li Ag P S
1 1 2 1
Cartesian
0.000 0.000 0.000
2.404 2.404 2.548
0.000 2.404 2.548
2.404 0.000 2.548
2.404 2.404 0.000
```

Results
SG ... P4/mmm


Version ii
Crystalline LiAgP2S at its relaxed geometry. Source: Alexandria via LeMat-Bulk, functional PBE.

```
LiAgP2S
1.0
4.390 0.000 0.000
0.000 4.390 0.000
0.000 0.000 4.544
Li Ag P S
1 1 2 1
Cartesian
0.000 0.000 0.000
2.195 2.195 2.272
0.000 2.195 0.000
2.195 0.000 0.000
0.000 0.000 2.272
```

Results
SG ... P4/mmm


Most stable to least stable: version ii, version i